Entry a
VASP calculation (PBE) on a relaxed structure of GeN2O2.

Summary:
magnetic moment = 5.50 μB per formula unit

Cell lengths 3.870, 3.870, 3.835 Å; angles 90.00, 90.00, 90.00 degrees
Positions (direct):
O1 0.000 0.000 0.500
O2 0.500 0.500 0.500
Ge1 0.000 0.000 0.000
N1 0.000 0.500 0.000
N2 0.500 0.000 0.000

---

Entry b
VASP calculation (PBE) on a relaxed structure of GeN2O2.

Summary:
magnetic moment = 0.00 μB per formula unit

Cell lengths 2.959, 2.959, 9.485 Å; angles 91.16, 90.00, 120.00 degrees
Positions (direct):
O1 0.671 0.342 0.101
O2 0.329 0.658 0.899
N1 0.998 0.996 0.441
N2 0.002 0.004 0.559
Ge1 0.000 0.000 0.000

---

Entry c
VASP calculation (PBE) on a relaxed structure of GeN2O2.

Summary:
magnetic moment = 0.00 μB per formula unit

Cell lengths 3.614, 3.614, 3.564 Å; angles 90.00, 90.00, 90.00 degrees
Positions (direct):
O1 0.000 0.000 0.000
O2 0.000 0.000 0.500
N1 0.000 0.500 0.000
N2 0.500 0.000 0.000
Ge1 0.500 0.500 0.500

---

Entry d
VASP calculation (PBE) on a relaxed structure of GeN2O2.

Summary:
magnetic moment = 2.35 μB per formula unit

Cell lengths 3.622, 3.622, 4.046 Å; angles 90.00, 90.00, 90.00 degrees
Positions (direct):
O1 0.000 0.500 0.000
O2 0.500 0.000 0.000
N1 0.000 0.000 0.500
N2 0.500 0.500 0.500
Ge1 0.000 0.000 0.000

---

Energy relative to the most stable one, in meV per atom: entry a 2397; entry b 0; entry c 2791; entry d 2279

---

Entry a
VASP calculation (PBE) on a relaxed structure of GeP2NO.

Summary:
magnetic moment = 0.00 μB per formula unit

Cell lengths 4.060, 4.060, 3.723 Å; angles 90.00, 90.00, 90.00 degrees
Positions (direct):
P1 0.000 0.500 0.000
P2 0.500 0.000 0.000
O1 0.000 0.000 0.500
Ge1 0.500 0.500 0.500
N1 0.000 0.000 0.000

---

Entry b
VASP calculation (PBE) on a relaxed structure of GeP2NO.

Summary:
magnetic moment = 0.00 μB per formula unit

Cell lengths 4.719, 4.719, 3.520 Å; angles 90.00, 90.00, 90.00 degrees
Positions (direct):
O1 0.000 0.000 0.500
Ge1 0.000 0.000 0.000
N1 0.500 0.500 0.500
P1 0.000 0.500 0.000
P2 0.500 0.000 0.000

---

Energy relative to the most stable one, in meV per atom: entry a 0; entry b 466

---

Entry a
VASP calculation (PBE) on a relaxed structure of GeTe2NO.

Summary:
magnetic moment = 1.36 μB per formula unit

Cell lengths 4.774, 4.774, 4.093 Å; angles 90.00, 90.00, 90.00 degrees
Positions (direct):
Ge1 0.500 0.500 0.500
O1 0.000 0.000 0.000
N1 0.000 0.000 0.500
Te1 0.500 0.000 0.000
Te2 0.000 0.500 0.000

---

Entry b
VASP calculation (PBE) on a relaxed structure of GeTe2NO.

Summary:
magnetic moment = 1.88 μB per formula unit

Cell lengths 5.651, 5.651, 3.446 Å; angles 90.00, 90.00, 90.00 degrees
Positions (direct):
Ge1 0.000 0.000 0.000
Te1 0.000 0.500 0.000
Te2 0.500 0.000 0.000
N1 0.000 0.000 0.500
O1 0.500 0.500 0.500

---

Energy relative to the most stable one, in meV per atom: entry a 0; entry b 45

---

Entry a
VASP calculation (PBE) on a relaxed structure of GeTeOsN2.

Summary:
magnetic moment = 1.87 μB per formula unit

Cell lengths 3.707, 3.707, 7.100 Å; angles 90.00, 90.00, 90.00 degrees
Positions (direct):
N1 0.500 0.000 0.000
N2 0.000 0.500 0.000
Ge1 0.000 0.000 0.000
Os1 0.500 0.500 0.500
Te1 0.000 0.000 0.500

---

Entry b
VASP calculation (PBE) on a relaxed structure of GeTeOsN2.

Summary:
magnetic moment = 0.00 μB per formula unit

Cell lengths 3.905, 3.905, 5.673 Å; angles 90.00, 90.00, 90.00 degrees
Positions (direct):
Os1 0.000 0.000 0.000
Ge1 0.500 0.500 0.500
Te1 0.000 0.000 0.500
N1 0.500 0.000 0.000
N2 0.000 0.500 0.000

---

Entry c
VASP calculation (PBE) on a relaxed structure of GeTeOsN2.

Summary:
magnetic moment = 1.52 μB per formula unit

Cell lengths 3.901, 5.450, 3.901 Å; angles 90.00, 90.00, 90.00 degrees
Positions (direct):
Te1 0.000 0.000 0.000
Os1 0.000 0.500 0.000
N1 0.500 0.000 0.000
N2 0.000 0.000 0.500
Ge1 0.500 0.500 0.500

---

Energy relative to the most stable one, in meV per atom: entry a 992; entry b 0; entry c 1108